*a*
The following is a DFT calculation (PBE) of a relaxed structure of KSr2CaCu.

Lattice parameters (Å, degrees): 6.0891 6.0891 6.3025 90.00 90.00 90.00
Space group P4/mmm (No. 123)
Inequivalent atoms, fractional coordinates:
K1 0.0000 0.0000 0.0000 (multiplicity 1)
Sr1 0.0000 0.5000 0.5000 (multiplicity 2)
Ca1 0.5000 0.5000 0.0000 (multiplicity 1)
Cu1 0.0000 0.0000 0.5000 (multiplicity 1)

Crystal system: tetragonal

=====

*b*
The following is a DFT calculation (PBE) of a relaxed structure of KSr2CaCu.

Lattice parameters (Å, degrees): 6.1958 6.1958 5.8958 90.00 90.00 90.00
Space group P4/mmm (No. 123)
Inequivalent atoms, fractional coordinates:
K1 0.0000 0.0000 0.0000 (multiplicity 1)
Sr1 0.0000 0.5000 0.5000 (multiplicity 2)
Ca1 0.5000 0.5000 0.0000 (multiplicity 1)
Cu1 0.5000 0.5000 0.5000 (multiplicity 1)

Crystal system: tetragonal

=====

In order of decreasing stability: *b*, *a*.

=====

*a*
The following is a DFT calculation (PBE) of a relaxed structure of Ca2LaCu.

Lattice parameters (Å, degrees): 6.7322 11.6783 3.6057 90.00 116.98 90.00
Space group C2/m (No. 12)
Inequivalent atoms, fractional coordinates:
Ca1 0.2500 0.2500 0.0000 (multiplicity 4)
La1 0.0000 0.0000 0.5000 (multiplicity 2)
Cu1 0.0000 0.5000 0.5000 (multiplicity 2)

Crystal system: monoclinic

=====

*b*
The following is a DFT calculation (PBE) of a relaxed structure of Ca2LaCu.

Lattice parameters (Å, degrees): 3.7491 5.7801 11.7385 90.00 90.00 90.00
Space group Imm2 (No. 44)
Inequivalent atoms, fractional coordinates:
Ca1 0.0000 0.0000 0.0000 (multiplicity 2)
Ca2 0.0000 0.5000 0.1948 (multiplicity 2)
La1 0.0000 0.0000 0.3866 (multiplicity 2)
Cu1 0.0000 0.5000 0.6968 (multiplicity 2)

Crystal system: orthorhombic

=====

*c*
The following is a DFT calculation (PBE) of a relaxed structure of Ca2LaCu.

Lattice parameters (Å, degrees): 3.8707 12.7024 10.5414 90.00 90.00 90.00
Space group Cmcm (No. 63)
Inequivalent atoms, fractional coordinates:
Ca1 0.0000 0.1380 0.0685 (multiplicity 8)
La1 0.0000 0.4155 0.2500 (multiplicity 4)
Cu1 0.0000 0.2550 0.7500 (multiplicity 4)

Crystal system: orthorhombic

=====

In order of decreasing stability: *c*, *b*, *a*.

=====

*a*
The following is a DFT calculation (PBE) of a relaxed structure of CaLaCu.

Lattice parameters (Å, degrees): 4.9069 4.9069 4.1547 90.00 90.00 120.00
Space group P3m1 (No. 156)
Inequivalent atoms, fractional coordinates:
Ca1 0.0000 0.0000 0.0000 (multiplicity 1)
La1 0.3333 0.6667 0.5195 (multiplicity 1)
Cu1 0.6667 0.3333 0.2275 (multiplicity 1)

Crystal system: trigonal

=====

*b*
The following is a DFT calculation (PBE) of a relaxed structure of CaLaCu.

Lattice parameters (Å, degrees): 3.6075 3.6075 13.4362 90.00 90.00 90.00
Space group I4mm (No. 107)
Inequivalent atoms, fractional coordinates:
Ca1 0.0000 0.0000 0.0000 (multiplicity 2)
La1 0.0000 0.0000 0.7357 (multiplicity 2)
Cu1 0.0000 0.0000 0.3656 (multiplicity 2)

Crystal system: tetragonal

=====

*c*
The following is a DFT calculation (PBE) of a relaxed structure of CaLaCu.

Lattice parameters (Å, degrees): 5.4962 4.9022 6.8874 90.00 95.69 90.00
Space group P2/m (No. 10)
Inequivalent atoms, fractional coordinates:
Ca1 0.0775 0.0000 0.2543 (multiplicity 2)
La1 0.4277 0.5000 0.7555 (multiplicity 2)
Cu1 0.0000 0.5000 0.5000 (multiplicity 1)
Cu2 0.5000 0.0000 0.0000 (multiplicity 1)

Crystal system: monoclinic

=====

*d*
The following is a DFT calculation (PBE) of a relaxed structure of CaLaCu.

Lattice parameters (Å, degrees): 3.9129 4.5822 10.4430 90.00 100.58 90.00
Space group P2_1/m (No. 11)
Inequivalent atoms, fractional coordinates:
Ca1 0.1931 0.2500 0.3867 (multiplicity 2)
La1 0.4255 0.2500 0.8495 (multiplicity 2)
Cu1 0.0348 0.2500 0.0719 (multiplicity 2)

Crystal system: monoclinic

=====

In order of decreasing stability: *d*, *b*, *c*, *a*.

=====

*a*
The following is a DFT calculation (PBE) of a relaxed structure of CaLaCu.

Lattice parameters (Å, degrees): 7.1520 7.1520 7.1520 90.00 90.00 90.00
Space group F-43m (No. 216)
Inequivalent atoms, fractional coordinates:
Ca1 0.0000 0.0000 0.0000 (multiplicity 4)
La1 0.0000 0.0000 0.5000 (multiplicity 4)
Cu1 0.2500 0.2500 0.2500 (multiplicity 4)

Crystal system: cubic

=====

*b*
The following is a DFT calculation (PBE) of a relaxed structure of CaLaCu.

Lattice parameters (Å, degrees): 7.0773 7.0773 7.0773 90.00 90.00 90.00
Space group F-43m (No. 216)
Inequivalent atoms, fractional coordinates:
Ca1 0.0000 0.0000 0.0000 (multiplicity 4)
La1 0.2500 0.2500 0.7500 (multiplicity 4)
Cu1 0.0000 0.0000 0.5000 (multiplicity 4)

Crystal system: cubic

=====

*c*
The following is a DFT calculation (PBE) of a relaxed structure of CaLaCu.

Lattice parameters (Å, degrees): 3.9966 3.9966 7.0545 90.00 90.00 120.00
Space group P3m1 (No. 156)
Inequivalent atoms, fractional coordinates:
Ca1 0.0000 0.0000 0.0000 (multiplicity 1)
La1 0.6667 0.3333 0.5148 (multiplicity 1)
Cu1 0.3333 0.6667 0.2623 (multiplicity 1)

Crystal system: trigonal

=====

In order of decreasing stability: *a*, *c*, *b*.

=====

*a*
The following is a DFT calculation (PBE) of a relaxed structure of Ca3LaCu.

Lattice parameters (Å, degrees): 5.6535 5.6535 5.6535 90.00 90.00 90.00
Space group Pm-3m (No. 221)
Inequivalent atoms, fractional coordinates:
Ca1 0.0000 0.0000 0.5000 (multiplicity 3)
La1 0.5000 0.5000 0.5000 (multiplicity 1)
Cu1 0.0000 0.0000 0.0000 (multiplicity 1)

Crystal system: cubic

=====

*b*
The following is a DFT calculation (PBE) of a relaxed structure of Ca3LaCu.

Lattice parameters (Å, degrees): 5.7648 5.7648 5.7648 90.00 90.00 90.00
Space group Pm-3m (No. 221)
Inequivalent atoms, fractional coordinates:
Ca1 0.0000 0.0000 0.5000 (multiplicity 3)
La1 0.0000 0.0000 0.0000 (multiplicity 1)
Cu1 0.5000 0.5000 0.5000 (multiplicity 1)

Crystal system: cubic

=====

In order of decreasing stability: *a*, *b*.

=====

*a*
The following is a DFT calculation (PBE) of a relaxed structure of CaLa2Cu2.

Lattice parameters (Å, degrees): 8.6671 8.6671 3.4374 90.00 90.00 90.00
Space group P4/mbm (No. 127)
Inequivalent atoms, fractional coordinates:
Ca1 0.0000 0.0000 0.0000 (multiplicity 2)
La1 0.1321 0.3679 0.0000 (multiplicity 4)
Cu1 0.1654 0.6654 0.5000 (multiplicity 4)

Crystal system: tetragonal

=====

*b*
The following is a DFT calculation (PBE) of a relaxed structure of CaLa2Cu2.

Lattice parameters (Å, degrees): 5.2157 5.2157 10.8136 90.00 90.00 90.00
Space group I4/mmm (No. 139)
Inequivalent atoms, fractional coordinates:
Ca1 0.0000 0.0000 0.0000 (multiplicity 2)
La1 0.0000 0.0000 0.3590 (multiplicity 4)
Cu1 0.0000 0.5000 0.2500 (multiplicity 4)

Crystal system: tetragonal

=====

In order of decreasing stability: *a*, *b*.

=====

*a*
The following is a DFT calculation (PBE) of a relaxed structure of CaLa2Cu2.

Lattice parameters (Å, degrees): 5.6324 5.6324 8.9306 90.00 90.00 90.00
Space group I4/mmm (No. 139)
Inequivalent atoms, fractional coordinates:
Ca1 0.0000 0.0000 0.0000 (multiplicity 2)
La1 0.0000 0.5000 0.2500 (multiplicity 4)
Cu1 0.0000 0.0000 0.3691 (multiplicity 4)

Crystal system: tetragonal

=====

*b*
The following is a DFT calculation (PBE) of a relaxed structure of CaLa2Cu2.

Lattice parameters (Å, degrees): 8.3071 8.3071 3.9479 90.00 90.00 90.00
Space group P4/mbm (No. 127)
Inequivalent atoms, fractional coordinates:
Ca1 0.0000 0.0000 0.0000 (multiplicity 2)
La1 0.1592 0.3408 0.5000 (multiplicity 4)
Cu1 0.1206 0.6206 0.0000 (multiplicity 4)

Crystal system: tetragonal

=====

In order of decreasing stability: *b*, *a*.

=====

*a*
The following is a DFT calculation (PBE) of a relaxed structure of Ca2La2Cu.

Lattice parameters (Å, degrees): 7.5861 7.5861 6.1435 90.00 90.00 90.00
Space group P4/mbm (No. 127)
Inequivalent atoms, fractional coordinates:
Ca1 0.1685 0.3315 0.0000 (multiplicity 4)
La1 0.1491 0.6491 0.5000 (multiplicity 4)
Cu1 0.0000 0.0000 0.5000 (multiplicity 2)

Crystal system: tetragonal

=====

*b*
The following is a DFT calculation (PBE) of a relaxed structure of Ca2La2Cu.

Lattice parameters (Å, degrees): 7.5146 7.5146 6.0447 90.00 90.00 90.00
Space group P4/mbm (No. 127)
Inequivalent atoms, fractional coordinates:
Ca1 0.1598 0.3402 0.0000 (multiplicity 4)
La1 0.1611 0.6611 0.5000 (multiplicity 4)
Cu1 0.0000 0.0000 0.0000 (multiplicity 2)

Crystal system: tetragonal

=====

In order of decreasing stability: *a*, *b*.